a.
Density functional theory data (PBE) for a relaxed TcBi3H crystal.

The volume comes out at 22.216 Å³/atom. The calculation puts the calculated density at 10.85 Mg/m³. For the total moment, the calculation gives 2.41 μB/f.u. The calculation puts the density of states at the Fermi level at 7.33 states/eV/cell.

It has space group Pm-3m (No. 221), with a = 4.807 Å, b = 4.807 Å, c = 4.807 Å, α = 90.00°, β = 90.00° and γ = 90.00°. The inequivalent atoms are Tc at (0.000, 0.000, 0.000), Bi at (0.000, 0.500, 0.500) and H at (0.500, 0.500, 0.500).

b.
Density functional theory data (PBE) for a relaxed TcBi3H crystal.

The volume comes out at 29.964 Å³/atom. The calculation puts the calculated density at 8.05 Mg/m³. For the total moment, the calculation gives 0.00 μB/f.u. The calculation puts the density of states at the Fermi level at 8.43 states/eV/cell.

It has space group Pm-3m (No. 221), with a = 5.311 Å, b = 5.311 Å, c = 5.311 Å, α = 90.00°, β = 90.00° and γ = 90.00°. The inequivalent atoms are Tc at (0.000, 0.000, 0.000), Bi at (0.000, 0.000, 0.500) and H at (0.500, 0.500, 0.500).

Which one is the least stable? From the structures above, b.